# 1
The following is a DFT calculation (PBE-GGA) of crystalline TcSnSb2 at its relaxed geometry.

Calculated values
- energy relative to the elements, uncorrected (eV/f.u.) = 2.73
- DOS(E_F) (states/eV/atom) = 0.95

a b c (Å): 3.1340 3.1340 11.6587
angles (deg): 82.28 82.28 60.00
Last column: nearest neighbours and their distance in Å.
Atoms (fractional coordinates):
Sb  0.9223  0.9223  0.2331  1 Tc 2.68
Sb  0.0777  0.0777  0.7669  1 Tc 2.68
Sn  0.5000  0.5000  0.5000  6 Sn 3.13
Tc  0.0000  0.0000  0.0000  2 Sb 2.68

***

# 2
The following is a DFT calculation (PBE-GGA) of crystalline CoMoSe2 at its relaxed geometry.

Calculated values
- energy relative to the elements, uncorrected (eV/f.u.) = 1.76
- DOS(E_F) (states/eV/atom) = 0.94
- distance to the lowest polymorph of the same formula (meV/atom) = 695.1

a b c (Å): 5.2680 5.2680 5.2680
angles (deg): 139.08 139.08 59.25
Last column: nearest neighbours and their distance in Å.
Atoms (fractional coordinates):
Se  0.0000  0.0000  0.0000  4 Co 2.60
Se  0.2500  0.7500  0.5000  4 Mo 2.60
Co  0.5000  0.5000  0.0000  4 Se 2.60
Mo  0.7500  0.2500  0.5000  4 Se 2.60

***

# 3
The following is a DFT calculation (PBE-GGA) of crystalline NiAgW at its relaxed geometry.

Calculated values
- DOS(E_F) (states/eV/atom) = 1.30
- energy relative to the elements (eV/atom) = 0.832
- distance to the lowest polymorph of the same formula (meV/atom) = 522.5

a b c (Å): 4.1138 4.1138 4.1138
angles (deg): 60.00 60.00 60.00
Last column: nearest neighbours and their distance in Å.
Atoms (fractional coordinates):
Ni  0.7500  0.7500  0.7500  4 W 2.52, 4 Ag 2.52
W  0.0000  0.0000  0.0000  4 Ni 2.52
Ag  0.5000  0.5000  0.5000  4 Ni 2.52

***

# 4
The following is a DFT calculation (PBE-GGA) of crystalline VBAs2Os at its relaxed geometry.

Calculated values
- DOS(E_F) (states/eV/atom) = 0.83
- energy relative to the elements (eV/atom) = 0.846
- distance to the lowest polymorph of the same formula (meV/atom) = 0.0

a b c (Å): 4.2637 3.8757 4.2637
angles (deg): 90.00 90.00 90.00
Last column: nearest neighbours and their distance in Å.
Atoms (fractional coordinates):
V  0.0000  0.5000  0.0000  2 B 1.94
B  0.0000  0.0000  0.0000  2 V 1.94, 4 As 2.13
Os  0.5000  0.5000  0.5000  8 As 2.88, 4 V 3.01
As  0.0000  0.0000  0.5000  2 B 2.13
As  0.5000  0.0000  0.0000  2 B 2.13

***

# 5
The following is a DFT calculation (PBE-GGA) of crystalline LaCu3Ir at its relaxed geometry.

Calculated values
- DOS(E_F) (states/eV/atom) = 0.58
- energy relative to the elements (eV/atom) = 0.204
- distance to the lowest polymorph of the same formula (meV/atom) = 0.0

a b c (Å): 4.7053 4.7053 4.7053
angles (deg): 90.00 90.00 90.00
Last column: nearest neighbours and their distance in Å.
Atoms (fractional coordinates):
La  0.5000  0.5000  0.5000  12 Cu 3.33
Cu  0.0000  0.0000  0.5000  2 Ir 2.35
Cu  0.0000  0.5000  0.0000  2 Ir 2.35
Cu  0.5000  0.0000  0.0000  2 Ir 2.35
Ir  0.0000  0.0000  0.0000  6 Cu 2.35

***

# 6
The following is a DFT calculation (PBE-GGA) of crystalline CrInCo2C at its relaxed geometry.

Calculated values
- DOS(E_F) (states/eV/atom) = 0.65
- energy relative to the elements (eV/atom) = 0.046

a b c (Å): 3.8985 3.8985 3.9084
angles (deg): 90.00 90.00 90.00
Last column: nearest neighbours and their distance in Å.
Atoms (fractional coordinates):
Co  0.5000  0.0000  0.0000  2 C 1.95
Co  0.0000  0.5000  0.0000  2 C 1.95
Cr  0.0000  0.0000  0.5000  2 C 1.95
In  0.5000  0.5000  0.5000  4 Cr 2.76, 8 Co 2.76
C  0.0000  0.0000  0.0000  4 Co 1.95, 2 Cr 1.95

***

Which of these has the lowest DOS(E_F)? LaCu3Ir

***

The lowest DOS(E_F) belongs to which entry? LaCu3Ir

***

What is the DOS(E_F) in the sixth record? 0.65 states/eV/atom